VASP calculation (PBE) on a geometry-optimized K2LiPu3O12 structure.

Properties
- ΔE_f (raw): -2244 meV per atom
- SG: No. 166
- Total magnetization: 3.00 μB/cell

a = 7.3582 Å, b = 7.3582 Å, c = 7.3582 Å
α = 64.71°, β = 64.71°, γ = 64.71°
Positions (direct):
K1 0.1262 0.1262 0.1262
K2 0.8738 0.8738 0.8738
Li1 0.5000 0.5000 0.5000
Pu1 0.0000 0.5000 0.5000
Pu2 0.5000 0.0000 0.5000
Pu3 0.5000 0.5000 0.0000
O1 0.1720 0.5668 0.5668
O2 0.1784 0.1784 0.5690
O3 0.1784 0.5690 0.1784
O4 0.4310 0.8216 0.8216
O5 0.4332 0.4332 0.8280
O6 0.4332 0.8280 0.4332
O7 0.5668 0.1720 0.5668
O8 0.5668 0.5668 0.1720
O9 0.5690 0.1784 0.1784
O10 0.8216 0.4310 0.8216
O11 0.8216 0.8216 0.4310
O12 0.8280 0.4332 0.4332


VASP calculation (PBE) on a geometry-optimized K3LiPu2O6 structure.

Properties
- ΔE_f (raw): -2315 meV per atom
- SG: No. 12
- Total magnetization: 8.00 μB/cell

a = 5.9980 Å, b = 5.9980 Å, c = 6.5022 Å
α = 98.63°, β = 98.63°, γ = 120.19°
Positions (direct):
K1 0.0000 0.0000 0.0000
K2 0.3439 0.6561 0.0000
K3 0.6561 0.3439 0.0000
Li1 0.5000 0.5000 0.5000
Pu1 0.1670 0.8330 0.5000
Pu2 0.8330 0.1670 0.5000
O1 0.0774 0.4374 0.3105
O2 0.2063 0.2063 0.6844
O3 0.4374 0.0774 0.3105
O4 0.5626 0.9226 0.6895
O5 0.7937 0.7937 0.3156
O6 0.9226 0.5626 0.6895


VASP calculation (PBE) on a geometry-optimized KLiPu2O8 structure.

Properties
- ΔE_f (raw): -2185 meV per atom
- SG: No. 2
- Total magnetization: 2.00 μB/cell

a = 5.2374 Å, b = 5.2463 Å, c = 7.0405 Å
α = 87.56°, β = 87.54°, γ = 84.57°
Positions (direct):
K1 0.0000 0.0000 0.0000
Li1 0.0000 0.0000 0.5000
Pu1 0.4955 0.4958 0.2581
Pu2 0.5045 0.5042 0.7419
O1 0.2350 0.7596 0.2733
O2 0.2385 0.7625 0.7272
O3 0.3325 0.3314 0.4797
O4 0.3429 0.3411 0.9629
O5 0.6571 0.6589 0.0371
O6 0.6675 0.6686 0.5203
O7 0.7615 0.2375 0.2728
O8 0.7650 0.2404 0.7267


VASP calculation (PBE) on a geometry-optimized KLiReO4 structure.

Properties
- ΔE_f (raw): -1748 meV per atom
- SG: No. 82
- Total magnetization: 2.00 μB/cell

a = 5.9262 Å, b = 5.9262 Å, c = 7.6116 Å
α = 90.00°, β = 90.00°, γ = 90.00°
Positions (direct):
K1 0.0000 0.0000 0.0000
K2 0.5000 0.5000 0.5000
Li1 0.0000 0.0000 0.5000
Li2 0.5000 0.5000 0.0000
Re1 0.0000 0.5000 0.2500
Re2 0.5000 0.0000 0.7500
O1 0.1203 0.7434 0.3565
O2 0.2434 0.3797 0.1435
O3 0.2566 0.1203 0.6435
O4 0.3797 0.7566 0.8565
O5 0.6203 0.2434 0.8565
O6 0.7434 0.8797 0.6435
O7 0.7566 0.6203 0.1435
O8 0.8797 0.2566 0.3565